VASP calculation (PBE) on a relaxed RbIn4Ga crystal.

Summary:
- volume (A^3/atom) = 41.42
- energy above the lowest structure with this stoichiometry (meV per atom) = 296
- symmetry = P4/mmm (123)
- calculated formation energy (kJ/mol of formula units) = 145
- total DFT energy (no corrections) (eV per atom) = -2.241
- N(E_F) (states/eV per cell) = 3.88

Unit cell a=5.5897 b=5.5897 c=7.9538 alpha=90.00 beta=90.00 gamma=90.00
Positions (direct):
Rb: 0.0000 0.0000 0.0000
In: 0.0000 0.5000 0.5000
In: 0.5000 0.0000 0.5000
In: 0.5000 0.5000 0.1752
In: 0.5000 0.5000 0.8248
Ga: 0.5000 0.5000 0.5000



VASP calculation (PBE) on a relaxed RbIn2Ga2 crystal.

Summary:
- volume (A^3/atom) = 27.22
- energy above the lowest structure with this stoichiometry (meV per atom) = 120
- symmetry = P4/mbm (127)
- calculated formation energy (kJ/mol of formula units) = 2
- total DFT energy (no corrections) (eV per atom) = -2.496
- N(E_F) (states/eV per cell) = 3.26

Unit cell a=9.0283 b=9.0283 c=3.3399 alpha=90.00 beta=90.00 gamma=90.00
Positions (direct):
Rb: 0.0000 0.0000 0.0000
Rb: 0.5000 0.5000 0.0000
In: 0.1434 0.3566 0.5000
In: 0.3566 0.8566 0.5000
In: 0.6434 0.1434 0.5000
In: 0.8566 0.6434 0.5000
Ga: 0.1424 0.6424 0.0000
Ga: 0.3576 0.1424 0.0000
Ga: 0.6424 0.8576 0.0000
Ga: 0.8576 0.3576 0.0000



VASP calculation (PBE) on a relaxed RbIn2Ga2 crystal.

Summary:
- volume (A^3/atom) = 28.67
- energy above the lowest structure with this stoichiometry (meV per atom) = 33
- symmetry = I4/mmm (139)
- calculated formation energy (kJ/mol of formula units) = -41
- total DFT energy (no corrections) (eV per atom) = -2.584
- N(E_F) (states/eV per cell) = 2.40

Unit cell a=6.9728 b=6.9728 c=6.9728 alpha=139.20 beta=139.20 gamma=59.07
Positions (direct):
Rb: 0.0000 0.0000 0.0000
In: 0.3764 0.3764 0.0000
In: 0.6236 0.6236 0.0000
Ga: 0.2500 0.7500 0.5000
Ga: 0.7500 0.2500 0.5000



VASP calculation (PBE) on a relaxed Rb3In4Ga crystal.

Summary:
- volume (A^3/atom) = 41.04
- symmetry = Pmmn (59)
- calculated formation energy (kJ/mol of formula units) = -68
- total DFT energy (no corrections) (eV per atom) = -2.198
- N(E_F) (states/eV per cell) = 6.56

Unit cell a=6.5110 b=14.8222 c=6.8044 alpha=90.00 beta=90.00 gamma=90.00
Positions (direct):
Rb: 0.2500 0.0069 0.2071
Rb: 0.2500 0.4931 0.2071
Rb: 0.2500 0.7500 0.5063
Rb: 0.7500 0.2500 0.4937
Rb: 0.7500 0.5069 0.7929
Rb: 0.7500 0.9931 0.7929
In: 0.0117 0.7500 0.0003
In: 0.2500 0.1439 0.6906
In: 0.2500 0.3561 0.6906
In: 0.4883 0.7500 0.0003
In: 0.5117 0.2500 0.9997
In: 0.7500 0.6439 0.3094
In: 0.7500 0.8561 0.3094
In: 0.9883 0.2500 0.9997
Ga: 0.2500 0.2500 0.3331
Ga: 0.7500 0.7500 0.6669



VASP calculation (PBE) on a relaxed RbInGa2 crystal.

Summary:
- volume (A^3/atom) = 32.41
- symmetry = R-3m (166)
- calculated formation energy (kJ/mol of formula units) = -9
- total DFT energy (no corrections) (eV per atom) = -2.463
- N(E_F) (states/eV per cell) = 1.50

Unit cell a=7.3080 b=7.3080 c=7.3080 alpha=37.49 beta=37.49 gamma=37.49
Positions (direct):
Rb: 0.0000 0.0000 0.0000
In: 0.5000 0.5000 0.5000
Ga: 0.2116 0.2116 0.2116
Ga: 0.7884 0.7884 0.7884



VASP calculation (PBE) on a relaxed Rb3In3Ga8 crystal.

Summary:
- volume (A^3/atom) = 28.03
- symmetry = Immm (71)
- calculated formation energy (kJ/mol of formula units) = -50
- total DFT energy (no corrections) (eV per atom) = -2.561
- N(E_F) (states/eV per cell) = 5.32

Unit cell a=9.5785 b=9.5785 c=9.5785 alpha=152.32 beta=100.98 gamma=85.64
Positions (direct):
Rb: 0.0000 0.0000 0.0000
Rb: 0.2856 0.2856 0.0000
Rb: 0.7144 0.7144 0.0000
In: 0.3134 0.5000 0.8134
In: 0.5000 0.0000 0.5000
In: 0.6866 0.5000 0.1866
Ga: 0.0012 0.6719 0.3293
Ga: 0.1417 0.8600 0.2817
Ga: 0.3427 0.6719 0.6707
Ga: 0.4217 0.1400 0.2817
Ga: 0.5783 0.8600 0.7183
Ga: 0.6573 0.3281 0.3293
Ga: 0.8583 0.1400 0.7183
Ga: 0.9988 0.3281 0.6707



VASP calculation (PBE) on a relaxed RbIn4Ga crystal.

Summary:
- volume (A^3/atom) = 29.43
- energy above the lowest structure with this stoichiometry (meV per atom) = 0
- symmetry = Cmcm (63)
- calculated formation energy (kJ/mol of formula units) = -27
- total DFT energy (no corrections) (eV per atom) = -2.537
- N(E_F) (states/eV per cell) = 5.12

Unit cell a=9.5607 b=9.5607 c=8.0729 alpha=90.00 beta=90.00 gamma=151.40
Positions (direct):
Rb: 0.1236 0.8764 0.7500
Rb: 0.8764 0.1236 0.2500
In: 0.0670 0.9330 0.2500
In: 0.3229 0.6772 0.5538
In: 0.3229 0.6772 0.9462
In: 0.5000 0.5000 0.0000
In: 0.5000 0.5000 0.5000
In: 0.6772 0.3229 0.0538
In: 0.6772 0.3229 0.4462
In: 0.9330 0.0670 0.7500
Ga: 0.2268 0.7732 0.2500
Ga: 0.7732 0.2268 0.7500



VASP calculation (PBE) on a relaxed RbIn2Ga crystal.

Summary:
- volume (A^3/atom) = 31.45
- symmetry = P4/nmm (129)
- calculated formation energy (kJ/mol of formula units) = -6
- total DFT energy (no corrections) (eV per atom) = -2.385
- N(E_F) (states/eV per cell) = 3.41

Unit cell a=4.6953 b=4.6953 c=11.4142 alpha=90.00 beta=90.00 gamma=90.00
Positions (direct):
Rb: 0.2500 0.2500 0.2387
Rb: 0.7500 0.7500 0.7613
In: 0.2500 0.2500 0.9308
In: 0.2500 0.7500 0.5000
In: 0.7500 0.2500 0.5000
In: 0.7500 0.7500 0.0692
Ga: 0.2500 0.2500 0.6539
Ga: 0.7500 0.7500 0.3461



VASP calculation (PBE) on a relaxed RbInGa2 crystal.

Summary:
- volume (A^3/atom) = 29.07
- symmetry = P4/mmm (123)
- calculated formation energy (kJ/mol of formula units) = 5
- total DFT energy (no corrections) (eV per atom) = -2.426
- N(E_F) (states/eV per cell) = 1.44

Unit cell a=3.7507 b=3.7507 c=8.2646 alpha=90.00 beta=90.00 gamma=90.00
Positions (direct):
Rb: 0.0000 0.0000 0.0000
In: 0.0000 0.0000 0.5000
Ga: 0.5000 0.5000 0.3205
Ga: 0.5000 0.5000 0.6795



VASP calculation (PBE) on a relaxed RbIn8Ga2 crystal.

Summary:
- volume (A^3/atom) = 36.85
- symmetry = P4/mmm (123)
- calculated formation energy (kJ/mol of formula units) = 113
- total DFT energy (no corrections) (eV per atom) = -2.524
- N(E_F) (states/eV per cell) = 3.77

Unit cell a=6.2175 b=6.2175 c=10.4854 alpha=90.00 beta=90.00 gamma=90.00
Positions (direct):
Rb: 0.0000 0.0000 0.0000
In: 0.2514 0.2514 0.3135
In: 0.2514 0.2514 0.6865
In: 0.2514 0.7486 0.3135
In: 0.2514 0.7486 0.6865
In: 0.7486 0.2514 0.3135
In: 0.7486 0.2514 0.6865
In: 0.7486 0.7486 0.3135
In: 0.7486 0.7486 0.6865
Ga: 0.0000 0.5000 0.5000
Ga: 0.5000 0.0000 0.5000



VASP calculation (PBE) on a relaxed Rb2InGa2 crystal.

Summary:
- volume (A^3/atom) = 36.45
- energy above the lowest structure with this stoichiometry (meV per atom) = 186
- symmetry = I4/mmm (139)
- calculated formation energy (kJ/mol of formula units) = 48
- total DFT energy (no corrections) (eV per atom) = -2.046
- N(E_F) (states/eV per cell) = 4.28

Unit cell a=12.6762 b=12.6762 c=12.6762 alpha=162.59 beta=162.59 gamma=24.71
Positions (direct):
Rb: 0.1156 0.1156 0.0000
Rb: 0.8844 0.8844 0.0000
In: 0.5000 0.5000 0.0000
Ga: 0.2500 0.7500 0.5000
Ga: 0.7500 0.2500 0.5000



VASP calculation (PBE) on a relaxed RbInGa2 crystal.

Summary:
- volume (A^3/atom) = 35.82
- symmetry = I4_1/amd (141)
- calculated formation energy (kJ/mol of formula units) = 35
- total DFT energy (no corrections) (eV per atom) = -2.350
- N(E_F) (states/eV per cell) = 2.91

Unit cell a=10.3860 b=10.3860 c=10.3860 alpha=149.57 beta=149.57 gamma=43.57
Positions (direct):
Rb: 0.3750 0.6250 0.7500
Rb: 0.6250 0.3750 0.2500
In: 0.1250 0.8750 0.2500
In: 0.8750 0.1250 0.7500
Ga: 0.0000 0.0000 0.0000
Ga: 0.0000 0.0000 0.5000
Ga: 0.0000 0.5000 0.0000
Ga: 0.5000 0.0000 0.5000



VASP calculation (PBE) on a relaxed RbIn4Ga4 crystal.

Summary:
- volume (A^3/atom) = 27.60
- symmetry = P4_2/nmc (137)
- calculated formation energy (kJ/mol of formula units) = -18
- total DFT energy (no corrections) (eV per atom) = -2.690
- N(E_F) (states/eV per cell) = 9.35

Unit cell a=7.0082 b=7.0082 c=10.1141 alpha=90.00 beta=90.00 gamma=90.00
Positions (direct):
Rb: 0.2500 0.7500 0.2500
Rb: 0.7500 0.2500 0.7500
In: 0.0098 0.2500 0.0939
In: 0.2500 0.0098 0.5939
In: 0.2500 0.4902 0.5939
In: 0.4902 0.2500 0.0939
In: 0.5098 0.7500 0.9061
In: 0.7500 0.5098 0.4061
In: 0.7500 0.9902 0.4061
In: 0.9902 0.7500 0.9061
Ga: 0.0632 0.2500 0.3782
Ga: 0.2500 0.0632 0.8782
Ga: 0.2500 0.4368 0.8782
Ga: 0.4368 0.2500 0.3782
Ga: 0.5632 0.7500 0.6218
Ga: 0.7500 0.5632 0.1218
Ga: 0.7500 0.9368 0.1218
Ga: 0.9368 0.7500 0.6218



VASP calculation (PBE) on a relaxed RbIn2Ga2 crystal.

Summary:
- volume (A^3/atom) = 27.32
- energy above the lowest structure with this stoichiometry (meV per atom) = 136
- symmetry = P4/mbm (127)
- calculated formation energy (kJ/mol of formula units) = 9
- total DFT energy (no corrections) (eV per atom) = -2.481
- N(E_F) (states/eV per cell) = 6.38

Unit cell a=9.1668 b=9.1668 c=3.2515 alpha=90.00 beta=90.00 gamma=90.00
Positions (direct):
Rb: 0.0000 0.0000 0.0000
Rb: 0.5000 0.5000 0.0000
In: 0.1317 0.3683 0.0000
In: 0.3683 0.8683 0.0000
In: 0.6317 0.1317 0.0000
In: 0.8683 0.6317 0.0000
Ga: 0.1561 0.6561 0.5000
Ga: 0.3439 0.1561 0.5000
Ga: 0.6561 0.8439 0.5000
Ga: 0.8439 0.3439 0.5000



VASP calculation (PBE) on a relaxed RbIn2Ga2 crystal.

Summary:
- volume (A^3/atom) = 27.71
- energy above the lowest structure with this stoichiometry (meV per atom) = 0
- symmetry = I4/mmm (139)
- calculated formation energy (kJ/mol of formula units) = -56
- total DFT energy (no corrections) (eV per atom) = -2.616
- N(E_F) (states/eV per cell) = 2.02

Unit cell a=6.8306 b=6.8306 c=6.8306 alpha=138.48 beta=138.48 gamma=60.16
Positions (direct):
Rb: 0.0000 0.0000 0.0000
In: 0.2500 0.7500 0.5000
In: 0.7500 0.2500 0.5000
Ga: 0.3888 0.3888 0.0000
Ga: 0.6112 0.6112 0.0000



VASP calculation (PBE) on a relaxed RbIn4Ga crystal.

Summary:
- volume (A^3/atom) = 30.64
- energy above the lowest structure with this stoichiometry (meV per atom) = 114
- symmetry = F-43m (216)
- calculated formation energy (kJ/mol of formula units) = 39
- total DFT energy (no corrections) (eV per atom) = -2.423
- N(E_F) (states/eV per cell) = 3.46

Unit cell a=6.3822 b=6.3822 c=6.3822 alpha=60.00 beta=60.00 gamma=60.00
Positions (direct):
Rb: 0.0000 0.0000 0.0000
In: 0.3756 0.3756 0.3756
In: 0.3756 0.3756 0.8732
In: 0.3756 0.8732 0.3756
In: 0.8732 0.3756 0.3756
Ga: 0.7500 0.7500 0.7500



VASP calculation (PBE) on a relaxed RbIn11Ga crystal.

Summary:
- volume (A^3/atom) = 28.75
- symmetry = C2/m (12)
- calculated formation energy (kJ/mol of formula units) = -17
- total DFT energy (no corrections) (eV per atom) = -2.638
- N(E_F) (states/eV per cell) = 4.81

Unit cell a=8.2543 b=8.2543 c=8.2086 alpha=97.19 beta=97.19 gamma=134.99
Positions (direct):
Rb: 0.0000 0.0000 0.0000
In: 0.0000 0.0000 0.5000
In: 0.0000 0.5000 0.0000
In: 0.0112 0.3621 0.3628
In: 0.2909 0.5043 0.7786
In: 0.3621 0.0112 0.3628
In: 0.4957 0.7091 0.2214
In: 0.5000 0.0000 0.0000
In: 0.5043 0.2909 0.7786
In: 0.6379 0.9888 0.6372
In: 0.7091 0.4957 0.2214
In: 0.9888 0.6379 0.6372
Ga: 0.5000 0.5000 0.5000



VASP calculation (PBE) on a relaxed Rb2In5Ga3 crystal.

Summary:
- volume (A^3/atom) = 29.13
- energy above the lowest structure with this stoichiometry (meV per atom) = 5
- symmetry = P-4m2 (115)
- calculated formation energy (kJ/mol of formula units) = -100
- total DFT energy (no corrections) (eV per atom) = -2.575
- N(E_F) (states/eV per cell) = 4.44

Unit cell a=4.8877 b=4.8877 c=12.1942 alpha=90.00 beta=90.00 gamma=90.00
Positions (direct):
Rb: 0.0000 0.5000 0.2366
Rb: 0.5000 0.0000 0.7634
In: 0.0000 0.0000 0.5000
In: 0.0000 0.5000 0.6507
In: 0.5000 0.0000 0.3493
In: 0.5000 0.5000 0.0000
In: 0.5000 0.5000 0.5000
Ga: 0.0000 0.0000 0.0000
Ga: 0.0000 0.5000 0.8809
Ga: 0.5000 0.0000 0.1191



VASP calculation (PBE) on a relaxed RbIn3Ga crystal.

Summary:
- volume (A^3/atom) = 50.49
- energy above the lowest structure with this stoichiometry (meV per atom) = 1028
- symmetry = Pm-3m (221)
- calculated formation energy (kJ/mol of formula units) = 497
- total DFT energy (no corrections) (eV per atom) = -1.411
- N(E_F) (states/eV per cell) = 7.54

Unit cell a=6.3201 b=6.3201 c=6.3201 alpha=90.00 beta=90.00 gamma=90.00
Positions (direct):
Rb: 0.0000 0.0000 0.0000
In: 0.0000 0.0000 0.5000
In: 0.0000 0.5000 0.0000
In: 0.5000 0.0000 0.0000
Ga: 0.5000 0.5000 0.5000



VASP calculation (PBE) on a relaxed Rb2InGa10 crystal.

Summary:
- volume (A^3/atom) = 29.99
- symmetry = Pbam (55)
- calculated formation energy (kJ/mol of formula units) = -18
- total DFT energy (no corrections) (eV per atom) = -2.702
- N(E_F) (states/eV per cell) = 7.15

Unit cell a=8.0876 b=15.7435 c=6.1245 alpha=90.00 beta=90.00 gamma=90.00
Positions (direct):
Rb: 0.1747 0.1347 0.0000
Rb: 0.3253 0.6347 0.0000
Rb: 0.6747 0.3653 0.0000
Rb: 0.8253 0.8653 0.0000
In: 0.0000 0.5000 0.5000
In: 0.5000 0.0000 0.5000
Ga: 0.0040 0.6807 0.5000
Ga: 0.1314 0.9622 0.5000
Ga: 0.1762 0.3960 0.1996
Ga: 0.1762 0.3960 0.8004
Ga: 0.1894 0.7987 0.5000
Ga: 0.3106 0.2987 0.5000
Ga: 0.3238 0.8960 0.1996
Ga: 0.3238 0.8960 0.8004
Ga: 0.3686 0.4622 0.5000
Ga: 0.4960 0.1807 0.5000
Ga: 0.5040 0.8193 0.5000
Ga: 0.6314 0.5378 0.5000
Ga: 0.6762 0.1040 0.1996
Ga: 0.6762 0.1040 0.8004
Ga: 0.6894 0.7013 0.5000
Ga: 0.8106 0.2013 0.5000
Ga: 0.8238 0.6040 0.1996
Ga: 0.8238 0.6040 0.8004
Ga: 0.8686 0.0378 0.5000
Ga: 0.9960 0.3193 0.5000